<1>
PBE NaLaIn2Ni, relaxed; crystal system = tetragonal
1.0
5.172 0.000 0.000
0.000 5.172 0.000
0.000 0.000 5.063
Ni In Na La
1 2 1 1
direct
0.000 0.000 0.000
0.000 0.500 0.000
0.500 0.000 0.000
0.500 0.500 0.500
0.000 0.000 0.500

---

<2>
PBE NaLaIn2Ni, relaxed; crystal system = tetragonal
1.0
5.148 0.000 0.000
0.000 5.638 0.000
0.000 0.000 5.148
Ni In Na La
1 2 1 1
direct
0.500 0.500 0.500
0.000 0.000 0.500
0.500 0.000 0.000
0.000 0.000 0.000
0.000 0.500 0.000

---

Result of the stability comparison: <2> is the least stable of them.

---

<1>
PBE NaLa2InO, relaxed; crystal system = tetragonal
1.0
-0.984 -4.297 2.427
3.506 -2.350 -2.740
3.373 1.122 3.355
Na In O La
1 1 1 2
direct
0.000 0.000 0.500
0.500 0.500 0.500
0.000 0.000 0.000
0.000 0.500 0.000
0.500 0.000 0.000

---

<2>
PBE NaLa2InO, relaxed; crystal system = tetragonal
1.0
-4.851 -1.330 3.207
-0.539 -3.181 -2.135
3.370 -3.124 3.804
Na In O La
1 1 1 2
direct
0.000 0.000 0.000
0.500 0.500 0.500
0.000 0.500 0.000
0.000 0.000 0.500
0.500 0.000 0.000

---

Result of the stability comparison: <2> is the least stable of them.

---

<1>
PBE NaLa2InRu, relaxed; crystal system = tetragonal
1.0
-5.335 0.238 -1.164
0.643 -3.922 -3.752
-0.986 -3.750 3.751
Ru In Na La
1 1 1 2
direct
0.000 0.000 0.000
0.000 0.000 0.500
0.500 0.500 0.500
0.000 0.500 0.000
0.500 0.000 0.000

---

<2>
PBE NaLa2InRu, relaxed; crystal system = tetragonal
1.0
5.297 0.000 0.000
0.000 5.297 0.000
0.000 0.000 5.577
Ru In Na La
1 1 1 2
direct
0.000 0.000 0.000
0.500 0.500 0.500
0.000 0.000 0.500
0.000 0.500 0.000
0.500 0.000 0.000

---

Result of the stability comparison: <2> is the least stable of them.

---

<1>
PBE LaNb2In2, relaxed; crystal system = tetragonal
1.0
-1.667 -3.339 -1.858
2.642 -2.471 2.071
-4.142 -3.492 5.314
Nb In La
2 2 1
direct
0.750 0.250 0.500
0.250 0.750 0.500
0.396 0.396 0.208
0.604 0.604 0.792
0.000 0.000 0.000

---

<2>
PBE LaNb2In2, relaxed; crystal system = tetragonal
1.0
8.406 0.000 0.000
0.000 8.406 0.000
0.000 0.000 3.273
Nb In La
4 4 2
direct
0.172 0.672 0.500
0.672 0.828 0.500
0.828 0.328 0.500
0.328 0.172 0.500
0.376 0.876 0.000
0.876 0.624 0.000
0.624 0.124 0.000
0.124 0.376 0.000
0.000 0.000 0.000
0.500 0.500 0.000

---

Result of the stability comparison: <2> is the least stable of them.

---

<1>
PBE LaNbInTe2, relaxed; crystal system = tetragonal
1.0
5.405 0.000 0.000
0.000 5.374 0.000
0.000 0.000 5.405
Nb Te In La
1 2 1 1
direct
0.000 0.000 0.000
0.000 0.000 0.500
0.500 0.000 0.000
0.000 0.500 0.000
0.500 0.500 0.500

---

<2>
PBE LaNbInTe2, relaxed; crystal system = tetragonal
1.0
6.009 0.000 0.000
0.000 5.967 0.000
0.000 0.000 6.009
Nb Te In La
1 2 1 1
direct
0.500 0.500 0.500
0.000 0.000 0.500
0.500 0.000 0.000
0.000 0.500 0.000
0.000 0.000 0.000

---

Result of the stability comparison: <2> is the least stable of them.

---

<1>
PBE LaNd4In2, relaxed; crystal system = monoclinic
1.0
-8.801 7.953 4.167
0.354 -2.728 5.955
3.979 3.652 1.432
In Nd La
4 8 2
direct
0.073 0.682 0.498
0.927 0.318 0.502
0.573 0.818 0.502
0.427 0.182 0.498
0.835 0.508 0.002
0.667 0.350 0.502
0.833 0.850 0.502
0.665 0.008 0.002
0.335 0.992 0.998
0.167 0.150 0.498
0.333 0.650 0.498
0.165 0.492 0.998
0.000 0.000 0.000
0.500 0.500 0.000

---

<2>
PBE LaNd4In2, relaxed; crystal system = monoclinic
1.0
-8.032 1.944 2.562
-2.491 -3.198 -5.382
3.452 -7.466 2.838
La Nd In
2 8 4
direct
0.242 0.750 0.316
0.758 0.250 0.684
0.572 0.494 0.234
0.094 0.750 0.889
0.906 0.250 0.111
0.572 0.006 0.234
0.041 0.250 0.534
0.428 0.994 0.766
0.428 0.506 0.766
0.959 0.750 0.466
0.796 0.750 0.029
0.204 0.250 0.971
0.335 0.250 0.393
0.665 0.750 0.607

---

Result of the stability comparison: <2> is the least stable of them.

---

<1>
PBE LaNdIn, relaxed; crystal system = trigonal
1.0
3.779 0.000 0.000
0.000 5.353 0.000
0.000 -2.676 4.636
In Nd La
1 1 1
direct
0.691 0.667 0.333
0.959 0.000 0.000
0.350 0.333 0.667

---

<2>
PBE LaNdIn, relaxed; crystal system = tetragonal
1.0
-3.569 0.060 -2.216
2.115 -1.172 -3.437
-0.107 -4.490 4.034
La Nd In
1 1 1
direct
0.292 0.292 0.584
0.605 0.605 0.211
0.953 0.953 0.905

---

Result of the stability comparison: <1> is the least stable of them.

---

<1>
PBE LaNdIn, relaxed; crystal system = orthorhombic
1.0
-4.139 1.398 -4.039
0.120 -5.580 -2.054
-7.461 -2.639 6.734
La Nd In
4 4 4
direct
0.750 0.249 0.172
0.250 0.251 0.672
0.250 0.751 0.828
0.750 0.749 0.328
0.750 0.750 0.647
0.250 0.750 0.147
0.250 0.250 0.353
0.750 0.250 0.853
0.750 0.249 0.507
0.250 0.251 0.007
0.250 0.751 0.493
0.750 0.749 0.993

---

<2>
PBE LaNdIn, relaxed; crystal system = orthorhombic
1.0
-4.848 -0.365 -0.806
-0.234 -3.536 3.013
-1.518 5.678 6.545
La Nd In
2 2 2
direct
0.750 0.250 0.859
0.250 0.750 0.141
0.250 0.250 0.470
0.750 0.750 0.530
0.750 0.250 0.234
0.250 0.750 0.766

---

Result of the stability comparison: <1> is the least stable of them.